# Mn3BrF

Crystalline Mn3BrF at its relaxed geometry (GGA+U, the Alexandria database).

* mass density: 3.97 g/cm³
* size of the total moment: 14.58 μB per cell
* VASP energy: -25.59 eV for the cell shown
* energy above the lowest structure with this stoichiometry: 0 meV per atom

Lattice parameters (Å, degrees): 4.7977 4.7977 4.7977 90.00 90.00 90.00
Closest atoms and distances in Å follow each position.
Positions (direct):
Mn 0.5000 0.0000 0.0000  2 F 2.40
Mn 0.0000 0.0000 0.5000  2 F 2.40
Br 0.5000 0.5000 0.5000  12 Mn 3.39
Mn 0.0000 0.5000 0.0000  2 F 2.40
F 0.0000 0.0000 0.0000  6 Mn 2.40